# 1
Compound: Tl4HgCl7
Source: Alexandria
Functional: PBE-GGA
Structure: optimized geometry

Calculated values
Symmetry: C2/m
Total energy (eV per atom): -2.71

Cell: 5.783 9.610 8.501 Å, 65.98 70.10 72.48°
Fractional positions:
Cl: 0.614 0.509 0.263
Tl: 0.576 0.233 0.616
Cl: 0.386 0.491 0.737
Tl: 0.770 0.630 0.830
Cl: 0.500 0.000 0.000
Cl: 0.843 0.227 0.087
Hg: 0.000 0.000 0.000
Tl: 0.230 0.370 0.170
Cl: 0.896 0.800 0.407
Tl: 0.424 0.767 0.384
Cl: 0.157 0.773 0.913
Cl: 0.104 0.200 0.593

# 2
Compound: Tl3Hg5Cl12
Source: Alexandria
Functional: PBE-GGA
Structure: optimized geometry

Calculated values
Symmetry: Ia-3d
Total energy (eV per atom): -2.21

Cell: 14.950 14.950 14.950 Å, 109.47 109.47 109.47°
Fractional positions:
Cl: 0.117 0.703 0.524
Cl: 0.976 0.593 0.179
Cl: 0.821 0.915 0.297
Hg: 0.000 0.500 0.500
Hg: 0.625 0.750 0.875
Hg: 0.625 0.875 0.250
Cl: 0.797 0.321 0.915
Cl: 0.976 0.383 0.297
Tl: 0.875 0.750 0.125
Cl: 0.679 0.203 0.585
Cl: 0.476 0.797 0.883
Cl: 0.617 0.593 0.915
Cl: 0.179 0.093 0.976
Hg: 0.125 0.375 0.250
Cl: 0.321 0.524 0.407
Cl: 0.203 0.679 0.085
Cl: 0.915 0.093 0.617
Cl: 0.085 0.907 0.383
Hg: 0.125 0.750 0.375
Cl: 0.593 0.617 0.415
Tl: 0.625 0.250 0.375
Hg: 0.500 0.000 0.500
Hg: 0.250 0.375 0.625
Tl: 0.125 0.250 0.875
Tl: 0.375 0.625 0.250
Tl: 0.750 0.375 0.125
Hg: 0.750 0.125 0.875
Cl: 0.585 0.703 0.679
Cl: 0.024 0.407 0.821
Cl: 0.407 0.024 0.321
Tl: 0.250 0.625 0.875
Cl: 0.883 0.297 0.476
Hg: 0.000 0.000 0.500
Cl: 0.593 0.976 0.679
Tl: 0.750 0.875 0.625
Cl: 0.383 0.407 0.085
Hg: 0.500 0.500 0.000
Hg: 0.000 0.000 0.000
Tl: 0.375 0.750 0.625
Cl: 0.297 0.415 0.821
Cl: 0.907 0.821 0.524
Cl: 0.297 0.883 0.976
Cl: 0.703 0.585 0.179
Cl: 0.321 0.797 0.415
Cl: 0.585 0.883 0.407
Cl: 0.907 0.085 0.883
Tl: 0.125 0.875 0.750
Cl: 0.679 0.476 0.593
Cl: 0.179 0.085 0.703
Cl: 0.085 0.179 0.203
Hg: 0.500 0.500 0.500
Cl: 0.883 0.585 0.907
Hg: 0.875 0.625 0.750
Hg: 0.375 0.125 0.750
Cl: 0.093 0.179 0.476
Cl: 0.524 0.203 0.117
Tl: 0.875 0.125 0.250
Cl: 0.203 0.524 0.617
Hg: 0.500 0.000 0.000
Cl: 0.821 0.907 0.024
Hg: 0.250 0.875 0.125
Hg: 0.750 0.625 0.375
Cl: 0.024 0.617 0.703
Hg: 0.875 0.250 0.625
Cl: 0.617 0.024 0.203
Hg: 0.000 0.500 0.000
Cl: 0.415 0.297 0.321
Cl: 0.703 0.117 0.024
Cl: 0.797 0.476 0.383
Tl: 0.625 0.375 0.750
Cl: 0.383 0.976 0.797
Cl: 0.915 0.821 0.797
Cl: 0.476 0.679 0.093
Cl: 0.117 0.415 0.093
Cl: 0.524 0.321 0.907
Tl: 0.250 0.125 0.375
Cl: 0.407 0.383 0.585
Hg: 0.375 0.250 0.125
Cl: 0.415 0.117 0.593
Cl: 0.093 0.915 0.117

One value per record, in order, for total moment: 0.00 0.00 μB/f.u..
One value per record, in order, for energy relative to the elements, uncorrected: -0.81 -0.68 eV/atom.